# PBE-GGA Sm2Sc2CBr3Cl2, optimized geometry
# ρ (g/cm³): 4.86
# E_tot (eV/atom): -5.50
data_Sm2Sc2CBr3Cl2
_chemical_formula_sum 'Sm4 Sc4 C2 Br6 Cl4'
_cell_length_a 17.4616
_cell_length_b 3.7046
_cell_length_c 7.7957
_cell_angle_alpha 90.00
_cell_angle_beta 104.78
_cell_angle_gamma 90.00
_symmetry_space_group_name_H-M 'C 1 2/m 1'
_symmetry_Int_Tables_number 12
_symmetry_space_group_name_Hall '-C 2y'
loop_
_atom_site_label
_atom_site_type_symbol
_atom_site_fract_x
_atom_site_fract_y
_atom_site_fract_z
_atom_site_occupancy
Sm1 Sm 0.1441 0.0000 0.0860 1
Sc1 Sc 0.0011 0.5000 0.1938 1
C1 C 0.0000 0.0000 0.0000 1
Br1 Br 0.0000 0.0000 0.5000 1
Br2 Br 0.1636 0.5000 0.8098 1
Cl1 Cl 0.1536 0.5000 0.3521 1